Entry 1:
First-principles (PBE-GGA) data for a relaxed structure of Sc4Co7Ge6, as listed in OQMD.

Lattice parameters (Å, degrees): 6.794 6.794 6.794 109.47 109.47 109.47
Element x y z (fractional)
Co1 0.000 0.000 0.000
Co2 0.750 0.500 0.250
Co3 0.500 0.750 0.250
Co4 0.750 0.250 0.500
Co5 0.250 0.750 0.500
Co6 0.500 0.250 0.750
Co7 0.250 0.500 0.750
Ge1 0.317 0.317 0.000
Ge2 0.683 0.683 0.000
Ge3 0.317 0.000 0.317
Ge4 0.000 0.317 0.317
Ge5 0.683 0.000 0.683
Ge6 0.000 0.683 0.683
Sc1 0.500 0.000 0.000
Sc2 0.000 0.500 0.000
Sc3 0.000 0.000 0.500
Sc4 0.500 0.500 0.500

VASP energy ... -6.657 eV/atom
Magnetization ... 0.00 Bohr magnetons per cell
SG ... Im-3m (229)

=====

Entry 2:
First-principles (PBE-GGA) data for a relaxed structure of ThGe2, as listed in OQMD.

Lattice parameters (Å, degrees): 8.538 8.538 8.538 151.68 151.68 40.48
Element x y z (fractional)
Ge1 0.419 0.419 0.000
Ge2 0.581 0.581 0.000
Ge3 0.169 0.669 0.500
Ge4 0.331 0.831 0.500
Th1 0.000 0.000 0.000
Th2 0.750 0.250 0.500

VASP energy ... -6.066 eV/atom
Magnetization ... 0.01 Bohr magnetons per cell
SG ... I4_1/amd (141)

=====

Entry 3:
First-principles (PBE-GGA) data for a relaxed structure of TmNbFe, as listed in OQMD.

Lattice parameters (Å, degrees): 4.484 4.484 4.484 60.00 60.00 60.00
Element x y z (fractional)
Fe1 0.250 0.250 0.250
Nb1 0.750 0.750 0.750
Tm1 0.000 0.000 0.000

E_form ... 1401 meV per atom
Magnetization ... 0.87 Bohr magnetons per cell
Polymorph energy (0 for the lowest one) ... 1068.6 meV per atom
SG ... F-43m (216)

=====

Entry 4:
First-principles (PBE-GGA) data for a relaxed structure of Cu, as listed in OQMD.

Lattice parameters (Å, degrees): 4.366 4.366 26.880 90.40 90.40 48.06
Element x y z (fractional)
Cu1 0.103 0.103 0.244
Cu2 0.803 0.803 0.270
Cu3 0.498 0.498 0.299
Cu4 0.202 0.202 0.332
Cu5 0.901 0.901 0.363
Cu6 0.600 0.600 0.393
Cu7 0.300 0.300 0.424
Cu8 0.000 0.000 0.455
Cu9 0.700 0.700 0.485
Cu10 0.400 0.400 0.516
Cu11 0.100 0.100 0.546
Cu12 0.800 0.800 0.576
Cu13 0.499 0.499 0.607
Cu14 0.200 0.200 0.637
Cu15 0.899 0.899 0.668
Cu16 0.600 0.600 0.700
Cu17 0.298 0.298 0.729
Cu18 0.998 0.998 0.757

E_form ... 164 meV per atom
Polymorph energy (0 for the lowest one) ... 163.7 meV per atom
SG ... Cm (8)

=====

Entry 5:
First-principles (PBE-GGA) data for a relaxed structure of NdDy, as listed in OQMD.

Lattice parameters (Å, degrees): 4.590 4.590 4.590 60.00 60.00 60.00
Each line ends with the local moment (μB).
Element x y z (fractional)
Dy1 0.000 0.000 0.000  0.23
Nd1 0.500 0.500 0.500  0.17

E_form ... 684 meV per atom
Magnetization ... 0.55 Bohr magnetons per cell
Polymorph energy (0 for the lowest one) ... 653.8 meV per atom
SG ... Fm-3m (225)

=====

Entry 6:
First-principles (PBE-GGA) data for a relaxed structure of LuNbNO, as listed in OQMD.

Lattice parameters (Å, degrees): 3.315 5.664 6.326 90.00 90.00 90.00
Element x y z (fractional)
Lu1 0.500 0.026 0.173
Lu2 0.500 0.526 0.827
N1 0.000 0.838 0.317
N2 0.000 0.338 0.683
Nb1 0.000 0.486 0.390
Nb2 0.000 0.986 0.610
O1 0.500 0.404 0.147
O2 0.500 0.904 0.853

Magnetization ... 0.04 Bohr magnetons per cell
Polymorph energy (0 for the lowest one) ... 206.6 meV per atom
SG ... Pmc2_1 (26)

=====

Entry 7:
First-principles (PBE-GGA) data for a relaxed structure of LaSm2Ga2Pd4, as listed in OQMD.

Lattice parameters (Å, degrees): 5.607 5.607 8.710 96.75 96.75 46.21
Element x y z (fractional)
Ga1 0.321 0.321 0.220
Ga2 0.679 0.679 0.780
La1 0.000 0.000 0.000
Pd1 0.721 0.721 0.090
Pd2 0.914 0.914 0.365
Pd3 0.086 0.086 0.635
Pd4 0.279 0.279 0.910
Sm1 0.624 0.624 0.387
Sm2 0.376 0.376 0.613

VASP energy ... -5.398 eV/atom
Magnetization ... 0.01 Bohr magnetons per cell
SG ... C2/m (12)

=====

Entry 8:
First-principles (PBE-GGA) data for a relaxed structure of CsReSeS2, as listed in OQMD.

Lattice parameters (Å, degrees): 5.955 7.977 8.180 62.41 83.32 68.31
Element x y z (fractional)
Cs1 0.729 0.836 0.315
Cs2 0.271 0.159 0.685
Re1 0.715 0.453 0.072
Re2 0.284 0.541 0.927
S1 0.159 0.273 0.071
S2 0.333 0.679 0.098
S3 0.667 0.316 0.901
S4 0.840 0.722 0.929
Se1 0.772 0.252 0.395
Se2 0.227 0.743 0.604

VASP energy ... -5.647 eV/atom
Magnetization ... 0.00 Bohr magnetons per cell
SG ... P-1 (2)

=====

Entry 9:
First-principles (PBE-GGA) data for a relaxed structure of ZrPaAg, as listed in OQMD.

Lattice parameters (Å, degrees): 4.796 4.796 4.796 60.00 60.00 60.00
Each line ends with the local moment (μB).
Element x y z (fractional)
Ag1 0.000 0.000 0.000  0.05
Pa1 0.250 0.250 0.250  0.98
Zr1 0.750 0.750 0.750  0.66

E_form ... 697 meV per atom
Magnetization ... 2.23 Bohr magnetons per cell
Polymorph energy (0 for the lowest one) ... 0.0 meV per atom
SG ... F-43m (216)

=====

Entry 10:
First-principles (PBE-GGA) data for a relaxed structure of MgCuReSn, as listed in OQMD.

Lattice parameters (Å, degrees): 4.532 4.532 4.532 60.00 60.00 60.00
Element x y z (fractional)
Cu1 0.750 0.750 0.750
Mg1 0.500 0.500 0.500
Re1 0.250 0.250 0.250
Sn1 0.000 0.000 0.000

Magnetization ... 0.00 Bohr magnetons per cell
Polymorph energy (0 for the lowest one) ... 0.0 meV per atom
SG ... F-43m (216)

=====

Entry 11:
First-principles (PBE-GGA) data for a relaxed structure of Dy3LuPb2C2, as listed in OQMD.

Lattice parameters (Å, degrees): 3.613 3.613 16.030 90.00 90.00 120.00
Element x y z (fractional)
C1 0.333 0.667 0.500
C2 0.333 0.667 0.997
Dy1 0.667 0.333 0.081
Dy2 0.667 0.333 0.417
Dy3 0.000 0.000 0.584
Lu1 0.000 0.000 0.918
Pb1 0.000 0.000 0.249
Pb2 0.667 0.333 0.753

VASP energy ... -6.029 eV/atom
Magnetization ... 0.01 Bohr magnetons per cell
SG ... P3m1 (156)

=====

Entry 12:
First-principles (PBE-GGA) data for a relaxed structure of RbNbCl3, as listed in OQMD.

Lattice parameters (Å, degrees): 5.171 5.171 5.171 90.00 90.00 90.00
Each line ends with the local moment (μB).
Element x y z (fractional)
Cl1 0.500 0.000 0.000  0.06
Cl2 0.000 0.500 0.000  0.02
Cl3 0.000 0.000 0.500  -0.01
Nb1 0.000 0.000 0.000  2.36
Rb1 0.500 0.500 0.500  0.00

VASP energy ... -4.476 eV/atom
Magnetization ... 3.00 Bohr magnetons per cell
SG ... Pm-3m (221)